Record 1
Below is KY2Zn after structural relaxation, with properties calculated at the GGA-PBE level.

Geometry as CIF:
```
data_KY2Zn
_space_group_name_H-M_alt 'I 41/a m d'
_space_group_IT_number 141
_cell_length_a 6.534
_cell_length_b 6.534
_cell_length_c 18.338
_cell_angle_alpha 90.00
_cell_angle_beta 90.00
_cell_angle_gamma 90.00
loop_
_space_group_symop_operation_xyz
'x,y,z'
'-x,-y,-z'
'-y+1/4,x+3/4,z+1/4'
'y+1/4,-x+3/4,-z+1/4'
'-x+1/2,-y,z+1/2'
'x+1/2,y,-z+1/2'
'y+1/4,-x+1/4,z+3/4'
'-y+1/4,x+1/4,-z+3/4'
'x,-y,-z'
'-x,y,z'
'-y+1/4,-x+1/4,-z+3/4'
'y+1/4,x+1/4,z+3/4'
'-x+1/2,y,-z+1/2'
'x+1/2,-y,z+1/2'
'y+1/4,x+3/4,-z+1/4'
'-y+1/4,-x+3/4,z+1/4'
'x+1/2,y+1/2,z+1/2'
'-x+1/2,-y+1/2,-z+1/2'
'-y+3/4,x+1/4,z+3/4'
'y+3/4,-x+1/4,-z+3/4'
'-x,-y+1/2,z'
'x,y+1/2,-z'
'y+3/4,-x+3/4,z+1/4'
'-y+3/4,x+3/4,-z+1/4'
'x+1/2,-y+1/2,-z+1/2'
'-x+1/2,y+1/2,z+1/2'
'-y+3/4,-x+3/4,-z+1/4'
'y+3/4,x+3/4,z+1/4'
'-x,y+1/2,-z'
'x,-y+1/2,z'
'y+3/4,x+1/4,-z+3/4'
'-y+3/4,-x+1/4,z+3/4'
loop_
_atom_site_label
_atom_site_type_symbol
_atom_site_fract_x
_atom_site_fract_y
_atom_site_fract_z
_atom_site_occupancy
K1 K 0.000 0.250 0.375 1
Y1 Y 0.000 0.000 0.000 1
Zn1 Zn 0.000 0.250 0.875 1
```

Total DFT energy (no corrections): -3.09 eV/atom
Magnetization: 0.00 Bohr magnetons per cell
DOS at the Fermi energy: 1.388 states/eV/atom
Calculated formation energy: 0.738 eV per atom

Record 2
Below is SrCdSi2Ir after structural relaxation, with properties calculated at the GGA-PBE level.

Geometry as CIF:
```
data_SrCdSi2Ir
_space_group_name_H-M_alt 'P 4/m m m'
_space_group_IT_number 123
_space_group_name_Hall '-P 4 2'
_cell_length_a 5.456
_cell_length_b 5.456
_cell_length_c 5.079
_cell_angle_alpha 90.00
_cell_angle_beta 90.00
_cell_angle_gamma 90.00
loop_
_atom_site_label
_atom_site_type_symbol
_atom_site_fract_x
_atom_site_fract_y
_atom_site_fract_z
_atom_site_occupancy
Sr1 Sr 0.000 0.000 0.000 1
Cd1 Cd 0.500 0.500 0.500 1
Si1 Si 0.000 0.500 0.000 1
Ir1 Ir 0.000 0.000 0.500 1
```

Total DFT energy (no corrections): -2.58 eV/atom
Magnetization: 0.00 Bohr magnetons per cell
DOS at the Fermi energy: 1.134 states/eV/atom
Formation energy from raw total energies: 1.88 eV per atom

Record 3
Below is Pm3Pr3SmS8 after structural relaxation, with properties calculated at the GGA-PBE level.

Geometry as CIF:
```
data_Pm3Pr3SmS8
_space_group_name_H-M_alt 'R -3 m'
_space_group_IT_number 166
_space_group_name_Hall '-R 3 2"'
_cell_length_a 8.1045
_cell_length_b 8.1045
_cell_length_c 19.9555
_cell_angle_alpha 90.00
_cell_angle_beta 90.00
_cell_angle_gamma 120.00
loop_
_atom_site_label
_atom_site_type_symbol
_atom_site_fract_x
_atom_site_fract_y
_atom_site_fract_z
_atom_site_occupancy
Pm1 Pm 0.0000 0.5000 0.0000 1
Pr1 Pr 0.0000 0.5000 0.5000 1
Sm1 Sm 0.0000 0.0000 0.0000 1
S1 S 0.0000 0.0000 0.2520 1
S2 S 0.0009 0.5004 0.7478 1
```

Total DFT energy (no corrections): -6.47 eV/atom
Magnetization: 0.00 Bohr magnetons per cell
DOS at the Fermi energy: 0.480 states/eV/atom
Formation energy from raw total energies: -2.05 eV per atom

Record 4
Below is V2Co3Ni3 after structural relaxation, with properties calculated at the GGA-PBE level.

Geometry as CIF:
```
data_V2Co3Ni3
_space_group_name_H-M_alt 'P m m m'
_space_group_IT_number 47
_cell_length_a 3.539
_cell_length_b 3.608
_cell_length_c 6.927
_cell_angle_alpha 90.00
_cell_angle_beta 90.00
_cell_angle_gamma 90.00
loop_
_space_group_symop_operation_xyz
'x,y,z'
'-x,-y,-z'
'-x,-y,z'
'x,y,-z'
'x,-y,-z'
'-x,y,z'
'-x,y,-z'
'x,-y,z'
loop_
_atom_site_label
_atom_site_type_symbol
_atom_site_fract_x
_atom_site_fract_y
_atom_site_fract_z
_atom_site_occupancy
V1 V 0.000 0.000 0.245 1
Co1 Co 0.000 0.500 0.000 1
Co2 Co 0.500 0.000 0.000 1
Co3 Co 0.500 0.000 0.500 1
Ni1 Ni 0.000 0.500 0.500 1
Ni2 Ni 0.500 0.500 0.249 1
```

Total DFT energy (no corrections): -7.30 eV/atom
Magnetization: 0.66 Bohr magnetons per cell
DOS at the Fermi energy: 0.735 states/eV/atom
Calculated formation energy: -0.192 eV per atom

Record 5
Below is Sr3Ca3Sn2N after structural relaxation, with properties calculated at the GGA-PBE level.

Geometry as CIF:
```
data_Sr3Ca3Sn2N
_space_group_name_H-M_alt 'P -6 2 m'
_space_group_IT_number 189
_space_group_name_Hall 'P -6 -2'
_cell_length_a 9.4664
_cell_length_b 9.4664
_cell_length_c 3.7264
_cell_angle_alpha 90.00
_cell_angle_beta 90.00
_cell_angle_gamma 120.00
loop_
_atom_site_label
_atom_site_type_symbol
_atom_site_fract_x
_atom_site_fract_y
_atom_site_fract_z
_atom_site_occupancy
Sr1 Sr 0.0000 0.4340 0.0000 1
Ca1 Ca 0.0000 0.8095 0.5000 1
Sn1 Sn 0.3333 0.6667 0.5000 1
N1 N 0.0000 0.0000 0.0000 1
```

Total DFT energy (no corrections): -3.42 eV/atom
Magnetization: 0.00 Bohr magnetons per cell
DOS at the Fermi energy: 0.618 states/eV/atom
Formation energy from raw total energies: -0.38 eV per atom